# 1
{
  "formula": "U2AsH2Se",
  "functional": "PBE",
  "state": "relaxed",
  "lattice_angstrom": [[-0.230, -2.707, 2.744], [1.997, -0.691, -3.232], [6.302, 2.804, 3.294]],
  "species": ["As", "H", "H", "Se", "U", "U"],
  "frac_coords": [[0.000, 0.000, 0.500], [0.667, 0.333, 0.749], [0.333, 0.667, 0.251], [0.000, 0.000, 0.000], [0.333, 0.667, 0.744], [0.667, 0.333, 0.256]],
  "total_magnetization_mub_per_cell": 4.9,
  "e_tot_ev_per_atom": -7.01
}

# 2
{
  "formula": "VAsHSe2",
  "functional": "PBE",
  "state": "relaxed",
  "lattice_angstrom": [[-0.365, 0.800, -4.656], [2.216, -4.095, -0.877], [-2.980, -1.603, -0.042]],
  "species": ["As", "H", "Se", "Se", "V"],
  "frac_coords": [[0.000, 0.000, 0.500], [0.000, 0.000, 0.000], [0.500, 0.000, 0.000], [0.000, 0.500, 0.000], [0.500, 0.500, 0.500]],
  "total_magnetization_mub_per_cell": 0.0,
  "de_polymorph_mev_per_atom": 76,
  "e_tot_ev_per_atom": -4.27
}